Entry from the Alexandria database: a relaxed HfRuN2 crystal (PBE).

- Formation energy (no corrections): -0.4266 eV per atom
- Magnetization: 2.0 μB/cell
- V: 13.75 Å³ per atom
- Polymorph energy (0 for the lowest one): 10.16 kJ per mole of atoms

Cell and atoms, written as POSCAR:
```
HfRuN2
1.0
1.617 0.934 6.070
-1.617 0.934 6.070
0.000 -1.868 6.070
Hf Ru N
1 1 2
Cartesian
0.000 0.000 0.000 Hf
0.000 0.000 9.105 Ru
0.000 0.000 7.171 N
0.000 0.000 11.039 N
```